Pm2MgPd3: relaxed, PBE.

Summary:
Energy of formation from the pure elements = -16.79 kcal/mol of atoms

Unit cell a=3.467 b=3.467 c=10.480 alpha=90.00 beta=90.00 gamma=90.00
Space group P4/mmm (No. 123)
Asymmetric unit:
1 Pm 0.000 0.000 0.180
2 Mg 0.000 0.000 0.500
3 Pd 0.500 0.500 0.000
4 Pd 0.500 0.500 0.359

Pm5MgPd4: relaxed, PBE.

Summary:
Energy of formation from the pure elements = -14.32 kcal/mol of atoms

Unit cell a=3.627 b=3.627 c=18.610 alpha=90.00 beta=90.00 gamma=90.00
Space group P4/mmm (No. 123)
Asymmetric unit:
1 Pm 0.000 0.000 0.000
2 Pm 0.000 0.000 0.192
3 Pm 0.000 0.000 0.381
4 Mg 0.500 0.500 0.500
5 Pd 0.500 0.500 0.096
6 Pd 0.500 0.500 0.291

PmMg2Pd2: relaxed, PBE.

Summary:
Energy of formation from the pure elements = -13.55 kcal/mol of atoms

Unit cell a=9.991 b=4.344 c=5.346 alpha=90.00 beta=104.53 gamma=90.00
Space group C2/m (No. 12)
Asymmetric unit:
1 Pm 0.000 0.000 0.000
2 Mg 0.159 0.500 0.598
3 Pd 0.214 0.500 0.135

PmMgPdPt: relaxed, PBE.

Summary:
Energy of formation from the pure elements = -19.43 kcal/mol of atoms

Unit cell a=6.858 b=6.858 c=6.858 alpha=90.00 beta=90.00 gamma=90.00
Space group F-43m (No. 216)
Asymmetric unit:
1 Pm 0.000 0.000 0.000
2 Mg 0.000 0.000 0.500
3 Pd 0.250 0.250 0.750
4 Pt 0.250 0.250 0.250

PmMgPdRh: relaxed, PBE.

Summary:
Energy of formation from the pure elements = -14.85 kcal/mol of atoms

Unit cell a=6.774 b=6.774 c=6.774 alpha=90.00 beta=90.00 gamma=90.00
Space group F-43m (No. 216)
Asymmetric unit:
1 Pm 0.000 0.000 0.000
2 Mg 0.000 0.000 0.500
3 Pd 0.250 0.250 0.250
4 Rh 0.250 0.250 0.750

Pm2MgSb3Pd4: relaxed, PBE.

Summary:
Uncorrected formation energy = -0.85 eV per atom

Unit cell a=4.427 b=4.427 c=11.212 alpha=90.00 beta=90.00 gamma=90.00
Space group P-4m2 (No. 115)
Asymmetric unit:
1 Pm 0.000 0.500 0.233
2 Mg 0.000 0.000 0.500
3 Sb 0.000 0.500 0.863
4 Sb 0.500 0.500 0.500
5 Pd 0.000 0.000 0.000
6 Pd 0.000 0.500 0.634
7 Pd 0.500 0.500 0.000

PmMgSbPd: relaxed, PBE.

Summary:
Uncorrected formation energy = -0.62 eV per atom

Unit cell a=7.173 b=7.173 c=7.173 alpha=90.00 beta=90.00 gamma=90.00
Space group F-43m (No. 216)
Asymmetric unit:
1 Pm 0.000 0.000 0.000
2 Mg 0.000 0.000 0.500
3 Sb 0.250 0.250 0.750
4 Pd 0.250 0.250 0.250

PmMg2ScPd4: relaxed, PBE.

Summary:
Energy of formation from the pure elements = -17.92 kcal/mol of atoms

Unit cell a=4.6070 b=4.6070 c=24.7713 alpha=90.00 beta=90.00 gamma=120.00
Space group R-3m (No. 166, hexagonal axes)
Asymmetric unit:
1 Pm 0.0000 0.0000 0.0000
2 Mg 0.0000 0.0000 0.2427
3 Sc 0.0000 0.0000 0.5000
4 Pd 0.0000 0.0000 0.1277
5 Pd 0.0000 0.0000 0.3913

PmMgScPd: relaxed, PBE.

Summary:
Energy of formation from the pure elements = -7.93 kcal/mol of atoms

Unit cell a=7.156 b=7.156 c=7.156 alpha=90.00 beta=90.00 gamma=90.00
Space group F-43m (No. 216)
Asymmetric unit:
1 Pm 0.000 0.000 0.000
2 Mg 0.250 0.250 0.750
3 Sc 0.000 0.000 0.500
4 Pd 0.250 0.250 0.250

Pm2MgSi4Pd3: relaxed, PBE.

Summary:
Uncorrected formation energy = -0.80 eV per atom

Unit cell a=4.203 b=4.203 c=10.442 alpha=90.00 beta=90.00 gamma=90.00
Space group P-4m2 (No. 115)
Asymmetric unit:
1 Pm 0.000 0.500 0.241
2 Mg 0.000 0.000 0.500
3 Si 0.000 0.000 0.000
4 Si 0.000 0.500 0.650
5 Si 0.500 0.500 0.000
6 Pd 0.000 0.500 0.883
7 Pd 0.500 0.500 0.500

PmMgSi2Pd2: relaxed, PBE.

Summary:
Uncorrected formation energy = -0.78 eV per atom

Unit cell a=4.2652 b=4.2652 c=6.9520 alpha=90.00 beta=90.00 gamma=120.00
Space group P-3m1 (No. 164)
Asymmetric unit:
1 Pm 0.0000 0.0000 0.0000
2 Mg 0.0000 0.0000 0.5000
3 Si 0.3333 0.6667 0.2784
4 Pd 0.3333 0.6667 0.6732

PmMgSi2Pd: relaxed, PBE.

Summary:
Uncorrected formation energy = -0.76 eV per atom

Unit cell a=4.124 b=4.124 c=10.939 alpha=90.00 beta=90.00 gamma=90.00
Space group I-4m2 (No. 119)
Asymmetric unit:
1 Pm 0.000 0.000 0.000
2 Mg 0.000 0.500 0.250
3 Si 0.000 0.000 0.393
4 Pd 0.000 0.500 0.750

PmMgSi2Pd5: relaxed, PBE.

Summary:
Uncorrected formation energy = -0.72 eV per atom

Unit cell a=4.192 b=4.192 c=8.868 alpha=90.00 beta=90.00 gamma=90.00
Space group P4/mmm (No. 123)
Asymmetric unit:
1 Pm 0.000 0.000 0.000
2 Mg 0.000 0.000 0.500
3 Si 0.500 0.500 0.371
4 Pd 0.000 0.500 0.243
5 Pd 0.500 0.500 0.000

Pm2MgSi3Pd4: relaxed, PBE.

Summary:
Uncorrected formation energy = -0.86 eV per atom

Unit cell a=4.261 b=4.261 c=10.188 alpha=90.00 beta=90.00 gamma=90.00
Space group P-4m2 (No. 115)
Asymmetric unit:
1 Pm 0.000 0.500 0.243
2 Mg 0.000 0.000 0.500
3 Si 0.000 0.500 0.873
4 Si 0.500 0.500 0.500
5 Pd 0.000 0.000 0.000
6 Pd 0.000 0.500 0.638
7 Pd 0.500 0.500 0.000

PmSmMgPd: relaxed, PBE.

Summary:
Energy of formation from the pure elements = -7.93 kcal/mol of atoms

Unit cell a=7.428 b=7.428 c=7.428 alpha=90.00 beta=90.00 gamma=90.00
Space group F-43m (No. 216)
Asymmetric unit:
1 Pm 0.000 0.000 0.000
2 Sm 0.000 0.000 0.500
3 Mg 0.250 0.250 0.750
4 Pd 0.250 0.250 0.250

Pm2MgSnPd6: relaxed, PBE.

Summary:
Energy of formation from the pure elements = -14.31 kcal/mol of atoms

Unit cell a=5.614 b=6.578 c=6.683 alpha=72.00 beta=65.22 gamma=64.80
Space group P-1 (No. 2)
Asymmetric unit:
1 Pm 0.002 0.250 0.247
2 Mg 0.500 0.000 0.500
3 Sn 0.500 0.500 0.000
4 Pd 0.004 0.188 0.807
5 Pd 0.310 0.437 0.444
6 Pd 0.500 0.188 0.808

PmMg2Sn2Pd2: relaxed, PBE.

Summary:
Energy of formation from the pure elements = -14.99 kcal/mol of atoms

Unit cell a=4.6080 b=4.6080 c=25.3496 alpha=90.00 beta=90.00 gamma=120.00
Space group R-3m (No. 166, hexagonal axes)
Asymmetric unit:
1 Pm 0.0000 0.0000 0.0000
2 Mg 0.0000 0.0000 0.1358
3 Sn 0.0000 0.0000 0.4072
4 Pd 0.0000 0.0000 0.2437

Pm2MgSn4Pd3: relaxed, PBE.

Summary:
Energy of formation from the pure elements = -16.09 kcal/mol of atoms

Unit cell a=4.409 b=4.409 c=11.809 alpha=90.00 beta=90.00 gamma=90.00
Space group P-4m2 (No. 115)
Asymmetric unit:
1 Pm 0.000 0.500 0.249
2 Mg 0.000 0.000 0.500
3 Sn 0.000 0.000 0.000
4 Sn 0.000 0.500 0.645
5 Sn 0.500 0.500 0.000
6 Pd 0.000 0.500 0.866
7 Pd 0.500 0.500 0.500

Pm2MgSn3Pd6: relaxed, PBE.

Summary:
Energy of formation from the pure elements = -10.34 kcal/mol of atoms

Unit cell a=4.104 b=4.104 c=16.976 alpha=90.00 beta=90.00 gamma=90.00
Space group P4/mmm (No. 123)
Asymmetric unit:
1 Pm 0.000 0.000 0.205
2 Mg 0.000 0.000 0.500
3 Sn 0.500 0.500 0.000
4 Sn 0.500 0.500 0.307
5 Pd 0.000 0.500 0.404
6 Pd 0.500 0.500 0.151

SrPmMgPd: relaxed, PBE.

Summary:
Energy of formation from the pure elements = -5.78 kcal/mol of atoms

Unit cell a=7.602 b=7.602 c=7.602 alpha=90.00 beta=90.00 gamma=90.00
Space group F-43m (No. 216)
Asymmetric unit:
1 Sr 0.000 0.000 0.000
2 Pm 0.000 0.000 0.500
3 Mg 0.250 0.250 0.250
4 Pd 0.250 0.250 0.750

TbPmMgPd: relaxed, PBE.

Summary:
Energy of formation from the pure elements = -8.39 kcal/mol of atoms

Unit cell a=7.369 b=7.369 c=7.369 alpha=90.00 beta=90.00 gamma=90.00
Space group F-43m (No. 216)
Asymmetric unit:
1 Tb 0.000 0.000 0.000
2 Pm 0.000 0.000 0.500
3 Mg 0.250 0.250 0.750
4 Pd 0.250 0.250 0.250

PmThMgPd: relaxed, PBE.

Summary:
Energy of formation from the pure elements = -5.19 kcal/mol of atoms

Unit cell a=7.446 b=7.446 c=7.446 alpha=90.00 beta=90.00 gamma=90.00
Space group F-43m (No. 216)
Asymmetric unit:
1 Pm 0.000 0.000 0.000
2 Th 0.000 0.000 0.500
3 Mg 0.250 0.250 0.750
4 Pd 0.250 0.250 0.250

PmMgTlPd: relaxed, PBE.

Summary:
Energy of formation from the pure elements = -11.05 kcal/mol of atoms

Unit cell a=7.163 b=7.163 c=7.163 alpha=90.00 beta=90.00 gamma=90.00
Space group F-43m (No. 216)
Asymmetric unit:
1 Pm 0.000 0.000 0.000
2 Mg 0.000 0.000 0.500
3 Tl 0.250 0.250 0.750
4 Pd 0.250 0.250 0.250

PmTmMg2Pd4: relaxed, PBE.

Summary:
Energy of formation from the pure elements = -17.96 kcal/mol of atoms

Unit cell a=4.7545 b=4.7545 c=23.9947 alpha=90.00 beta=90.00 gamma=120.00
Space group R-3m (No. 166, hexagonal axes)
Asymmetric unit:
1 Pm 0.0000 0.0000 0.0000
2 Tm 0.0000 0.0000 0.5000
3 Mg 0.0000 0.0000 0.2473
4 Pd 0.0000 0.0000 0.1261
5 Pd 0.0000 0.0000 0.3820

PmTmMgPd: relaxed, PBE.

Summary:
Energy of formation from the pure elements = -8.71 kcal/mol of atoms

Unit cell a=7.306 b=7.306 c=7.306 alpha=90.00 beta=90.00 gamma=90.00
Space group F-43m (No. 216)
Asymmetric unit:
1 Pm 0.000 0.000 0.000
2 Tm 0.000 0.000 0.500
3 Mg 0.250 0.250 0.750
4 Pd 0.250 0.250 0.250

PmYMg2Pd4: relaxed, PBE.

Summary:
Energy of formation from the pure elements = -17.46 kcal/mol of atoms

Unit cell a=4.8112 b=4.8112 c=23.7645 alpha=90.00 beta=90.00 gamma=120.00
Space group R-3m (No. 166, hexagonal axes)
Asymmetric unit:
1 Pm 0.0000 0.0000 0.0000
2 Y 0.0000 0.0000 0.5000
3 Mg 0.0000 0.0000 0.2486
4 Pd 0.0000 0.0000 0.1257
5 Pd 0.0000 0.0000 0.3778